## YReS2 (PBE)

Data for YReS2 after structural relaxation.

a = 5.161 Å, b = 5.161 Å, c = 13.161 Å
α = 90.00°, β = 90.00°, γ = 90.00°
Space group I-42d (No. 122)
Asymmetric unit:
Y 0.000 0.000 0.000 [4 per cell]
Re 0.000 0.000 0.500 [4 per cell]
S 0.185 0.250 0.625 [8 per cell]

Properties
Uncorrected energy: -7.3863 eV per atom
Formation energy without anion corrections: -0.594 eV/atom
Distance to the lowest polymorph of the same formula: 0 meV per atom
Magnetic moment: 0.00 μB per cell